Computed, not measured: a relaxed structure of La3HgRu at the GGA-PBE level of DFT.

## Properties
Its volume is 30.8 Å³/atom. For the formation energy, the calculation gives -358 meV per atom. Its space-group type is C2/m (12). The total magnetic moment comes out at 0.00 μB per cell. The mass density comes out at 7.73 g/cm³. Its energy above the most stable polymorph in this dataset is 0.023 eV per atom.

```
10
Lattice="18.021 0.000 -1.685 6.595 2.155 -4.589 -6.595 2.155 4.589" Properties=species:S:1:pos:R:3 pbc="T T T"
Ru 4.558 2.155 -2.010
Ru 13.462 2.155 0.324
Hg 3.337 2.155 2.287
Hg 14.684 2.155 -3.972
La 7.360 2.155 -1.806
La 10.661 2.155 0.121
La 16.195 2.155 -0.883
La 1.826 2.155 -0.802
La 11.296 2.155 -4.621
La 6.725 2.155 2.936
```

Computed, not measured: a relaxed structure of LaHg2Ru at the GGA-PBE level of DFT.

## Properties
Its volume is 23.4 Å³/atom. For the formation energy, the calculation gives -8 meV per atom. Its space-group type is P4mm (99). The total magnetic moment comes out at 0.00 μB per cell. The mass density comes out at 11.36 g/cm³.

```
4
Lattice="-3.332 -0.795 -0.628 0.725 -0.363 -3.387 1.571 -7.481 1.138" Properties=species:S:1:pos:R:3 pbc="T T T"
Hg 1.516 -7.220 1.098
Hg -0.953 -2.251 -1.753
La 0.858 -4.085 0.621
Ru -0.101 -6.305 -1.137
```

Computed, not measured: a relaxed structure of LaHg2Ru at the GGA-PBE level of DFT.

## Properties
Its volume is 22.2 Å³/atom. For the formation energy, the calculation gives -89 meV per atom. Its space-group type is I4/mmm (139). The total magnetic moment comes out at 0.00 μB per cell. The mass density comes out at 11.96 g/cm³.

```
4
Lattice="5.705 0.033 0.000 2.447 5.154 0.000 -4.076 -2.594 3.035" Properties=species:S:1:pos:R:3 pbc="T T T"
Hg 0.000 0.000 0.000
Hg 4.076 2.594 0.000
La 1.223 2.577 1.517
Ru 2.853 0.017 1.517
```

Computed, not measured: a relaxed structure of La12HgRu6 at the GGA-PBE level of DFT.

## Properties
Its volume is 29.0 Å³/atom. For the formation energy, the calculation gives -264 meV per atom. Its space-group type is Im-3 (204). The total magnetic moment comes out at 0.00 μB per cell. The mass density comes out at 7.45 g/cm³.

```
19
Lattice="8.434 0.000 -2.982 -4.217 7.304 -2.982 0.000 0.000 8.946" Properties=species:S:1:pos:R:3 pbc="T T T"
La 2.127 0.856 5.938
La 0.494 3.684 -0.699
La 3.723 3.621 3.681
La 2.090 6.448 -2.956
La -2.412 5.890 0.026
La 3.437 1.414 0.699
La 0.780 5.890 2.283
La 6.630 1.414 2.956
La 5.491 2.270 -2.283
La 0.322 2.270 3.008
La 3.895 5.034 -0.026
La -1.274 5.034 5.265
Hg 0.000 0.000 0.000
Ru 0.979 3.652 5.165
Ru 3.238 3.652 -2.183
Ru 0.565 6.326 -0.799
Ru 3.652 0.978 3.781
Ru 5.761 2.674 0.799
Ru -1.544 4.631 2.183
```

Computed, not measured: a relaxed structure of La5HgRu at the GGA-PBE level of DFT.

## Properties
Its volume is 30.4 Å³/atom. For the formation energy, the calculation gives -186 meV per atom. Its space-group type is P4/mmm (123). The total magnetic moment comes out at 0.00 μB per cell. The mass density comes out at 7.78 g/cm³. Its energy above the most stable polymorph in this dataset is 0.026 eV per atom.

```
7
Lattice="5.064 0.000 0.000 0.000 5.064 0.000 0.000 0.000 8.294" Properties=species:S:1:pos:R:3 pbc="T T T"
La 0.000 2.532 6.645
La 0.000 2.532 1.649
La 2.532 0.000 6.645
La 2.532 0.000 1.649
La 2.532 2.532 4.147
Hg 0.000 0.000 4.147
Ru 2.532 2.532 0.000
```

Computed, not measured: a relaxed structure of La6Hg2Ru3 at the GGA-PBE level of DFT.

## Properties
Its volume is 32.0 Å³/atom. For the formation energy, the calculation gives -301 meV per atom. Its space-group type is C2/m (12). The total magnetic moment comes out at 0.00 μB per cell. The mass density comes out at 7.25 g/cm³.

```
11
Lattice="6.909 0.000 2.055 3.454 6.246 1.028 0.068 0.000 8.179" Properties=species:S:1:pos:R:3 pbc="T T T"
La 5.101 4.143 8.082
La 5.131 0.000 8.093
La 1.646 2.103 7.054
La 1.845 0.000 2.141
La 5.330 2.103 3.180
La 8.784 4.143 4.208
Hg 3.488 4.170 5.117
Hg 6.942 2.076 6.145
Ru 0.000 0.000 0.000
Ru 3.454 2.067 1.028
Ru 6.909 4.180 2.055
```

Computed, not measured: a relaxed structure of La3HgRu at the GGA-PBE level of DFT.

## Properties
Its volume is 29.6 Å³/atom. For the formation energy, the calculation gives -218 meV per atom. Its space-group type is R-3 (148). The total magnetic moment comes out at 0.00 μB per cell. The mass density comes out at 8.07 g/cm³. Its energy above the most stable polymorph in this dataset is 0.163 eV per atom.

```
10
Lattice="-3.621 -3.245 4.928 0.135 4.054 5.610 -6.161 3.135 0.379" Properties=species:S:1:pos:R:3 pbc="T T T"
Ru -0.892 0.365 1.010
Ru -8.755 3.579 9.908
Hg -3.878 1.586 4.389
Hg -5.769 2.359 6.529
La -6.417 1.122 2.648
La -2.738 4.466 4.691
La -6.702 4.586 4.564
La -6.909 -0.522 6.226
La -3.230 2.822 8.269
La -2.945 -0.641 6.354
```

Computed, not measured: a relaxed structure of LaHg2Ru at the GGA-PBE level of DFT.

## Properties
Its volume is 22.6 Å³/atom. For the formation energy, the calculation gives 7 meV per atom. Its space-group type is P4/mmm (123). The total magnetic moment comes out at 0.00 μB per cell. The mass density comes out at 11.80 g/cm³.

```
4
Lattice="4.118 0.868 0.000 -0.869 4.118 0.000 0.000 0.000 5.095" Properties=species:S:1:pos:R:3 pbc="T T T"
Hg 0.000 0.000 0.000
Hg 1.625 2.493 0.000
La 2.059 0.434 2.547
Ru -0.434 2.059 2.547
```

Computed, not measured: a relaxed structure of La19Hg4Ru6 at the GGA-PBE level of DFT.

## Properties
Its volume is 31.9 Å³/atom. For the formation energy, the calculation gives -232 meV per atom. Its space-group type is I23 (197). The total magnetic moment comes out at 0.00 μB per cell. The mass density comes out at 7.28 g/cm³.

```
29
Lattice="10.019 0.000 -3.542 -5.009 8.677 -3.542 0.000 0.000 10.627" Properties=species:S:1:pos:R:3 pbc="T T T"
La 6.997 0.000 4.947
La 3.022 0.000 2.137
La 1.511 2.617 -2.137
La 3.498 6.059 -4.947
La -3.498 6.059 4.947
La -1.511 2.617 2.137
La 0.000 0.000 0.000
La 1.609 2.036 4.765
La 5.524 2.962 6.400
La 2.866 5.715 -0.467
La 5.969 6.265 -2.319
La 0.020 6.640 -3.614
La 4.813 2.412 -0.684
La -1.494 3.337 6.617
La 0.731 5.339 3.471
La 7.451 0.375 1.223
La -1.373 8.301 3.075
La -0.751 5.374 -0.072
La 4.692 3.303 2.858
Hg 0.000 0.000 7.045
Hg -3.321 5.752 -2.348
Hg 1.689 2.925 1.194
Hg 6.642 0.000 -2.348
Ru 1.266 4.338 6.208
Ru 3.744 4.338 -2.666
Ru -1.885 5.411 2.666
Ru 6.895 3.265 0.876
Ru 0.619 7.604 -0.876
Ru 4.390 1.073 4.418
```

Computed, not measured: a relaxed structure of LaHgRu2 at the GGA-PBE level of DFT.

## Properties
Its volume is 19.5 Å³/atom. For the formation energy, the calculation gives 271 meV per atom. Its space-group type is P2/m (10). The total magnetic moment comes out at 0.00 μB per cell. The mass density comes out at 11.52 g/cm³.

```
4
Lattice="-2.006 -1.467 2.098 2.021 -4.780 -1.411 4.479 -2.933 2.231" Properties=species:S:1:pos:R:3 pbc="T T T"
Hg 2.247 -4.590 1.459
La 2.240 -1.467 1.116
Ru 0.000 0.000 0.000
Ru 0.008 -3.124 0.343
```

Computed, not measured: a relaxed structure of LaHgRu2 at the GGA-PBE level of DFT.

## Properties
Its volume is 19.5 Å³/atom. For the formation energy, the calculation gives 203 meV per atom. Its space-group type is P4/mmm (123). The total magnetic moment comes out at 1.41 μB per cell. The mass density comes out at 11.53 g/cm³.

```
4
Lattice="-0.774 3.313 -2.927 -4.411 -0.408 0.705 0.220 2.591 2.875" Properties=species:S:1:pos:R:3 pbc="T T T"
Hg -0.277 2.952 -0.026
La -2.095 1.092 1.790
Ru 0.000 0.000 0.000
Ru -2.592 1.453 -1.111
```

Computed, not measured: a relaxed structure of La3HgRu at the GGA-PBE level of DFT.

## Properties
Its volume is 29.4 Å³/atom. For the formation energy, the calculation gives -365 meV per atom. Its space-group type is P-1 (2). The total magnetic moment comes out at 0.00 μB per cell. The mass density comes out at 8.13 g/cm³. Its energy above the most stable polymorph in this dataset is 0.016 eV per atom.

```
10
Lattice="7.223 -0.124 0.215 -0.141 7.768 0.115 0.123 2.826 5.281" Properties=species:S:1:pos:R:3 pbc="T T T"
Ru 2.044 8.389 4.157
Ru 4.784 9.178 5.421
Hg 5.478 5.243 2.745
Hg 1.368 1.729 1.437
La 7.071 2.821 4.322
La 7.122 6.853 5.355
La 4.921 8.386 2.295
La 3.653 6.613 5.409
La 3.316 3.185 4.054
La 1.785 6.353 2.001
```

Computed, not measured: a relaxed structure of La3HgRu at the GGA-PBE level of DFT.

## Properties
Its volume is 30.3 Å³/atom. For the formation energy, the calculation gives -360 meV per atom. Its space-group type is Cmce (64). The total magnetic moment comes out at 0.00 μB per cell. The mass density comes out at 7.86 g/cm³. Its energy above the most stable polymorph in this dataset is 0.021 eV per atom.

```
20
Lattice="25.434 0.000 -2.006 0.000 6.600 0.000 -8.994 0.000 4.325" Properties=species:S:1:pos:R:3 pbc="T T T"
Ru -2.813 1.651 2.400
Ru 19.253 4.949 -0.081
Ru 2.039 4.951 3.085
Ru 14.401 1.649 -0.765
Hg 7.069 4.978 0.997
Hg 9.371 1.622 1.322
Hg 1.151 1.678 0.162
Hg 15.289 4.922 2.157
La -0.376 0.001 2.656
La 16.816 6.599 -0.337
La -0.398 3.301 2.829
La 16.838 3.299 -0.509
La 5.920 1.620 0.835
La 10.520 4.980 1.484
La 2.300 4.920 0.325
La 14.140 1.680 1.995
La 13.677 4.950 -0.867
La 2.763 1.650 3.187
La 19.977 1.650 0.021
La -3.537 4.950 2.298
```

Computed, not measured: a relaxed structure of La3HgRu at the GGA-PBE level of DFT.

## Properties
Its volume is 30.8 Å³/atom. For the formation energy, the calculation gives -297 meV per atom. Its space-group type is C2/c (15). The total magnetic moment comes out at 0.00 μB per cell. The mass density comes out at 7.75 g/cm³. Its energy above the most stable polymorph in this dataset is 0.084 eV per atom.

```
20
Lattice="15.780 0.000 0.631 6.294 5.903 -3.055 -6.294 5.903 3.055" Properties=species:S:1:pos:R:3 pbc="T T T"
Ru 3.503 5.262 -0.798
Ru 10.681 5.262 -1.942
Ru 12.277 6.543 1.429
Ru 5.100 6.543 2.573
Hg 8.689 3.817 2.001
Hg 7.092 7.989 -1.370
Hg 14.982 3.834 -1.054
Hg 0.798 7.972 1.685
La 6.114 4.975 0.266
La 1.776 10.878 0.050
La 9.667 6.831 0.365
La 14.004 0.928 0.581
La 3.753 2.082 -0.140
La 4.137 7.985 0.455
La 12.028 9.723 0.771
La 11.643 3.820 0.176
La 2.687 5.018 1.948
La -1.090 5.018 1.422
La 13.093 6.788 -1.317
La 16.871 6.788 -0.791
```

Computed, not measured: a relaxed structure of La6Hg2Ru at the GGA-PBE level of DFT.

## Properties
Its volume is 30.6 Å³/atom. For the formation energy, the calculation gives -342 meV per atom. Its space-group type is Amm2 (38). The total magnetic moment comes out at 0.00 μB per cell. The mass density comes out at 8.05 g/cm³. Its energy above the most stable polymorph in this dataset is 0.000 eV per atom.

```
9
Lattice="3.962 0.000 0.000 0.000 7.955 -4.288 0.000 -0.530 9.022" Properties=species:S:1:pos:R:3 pbc="T T T"
La 1.981 3.036 1.936
La 1.981 4.173 6.354
La 1.981 7.521 1.102
La 0.000 5.729 3.653
La 0.000 1.324 7.921
La 0.000 7.740 -2.142
Hg 0.000 5.030 0.113
Hg 0.000 2.225 4.512
Ru 1.981 0.347 0.221
```

Computed, not measured: a relaxed structure of LaHgRu2 at the GGA-PBE level of DFT.

## Properties
Its volume is 20.5 Å³/atom. For the formation energy, the calculation gives 96 meV per atom. Its space-group type is Pmm2 (25). The total magnetic moment comes out at 0.00 μB per cell. The mass density comes out at 10.98 g/cm³.

```
4
Lattice="2.974 0.000 0.000 0.000 3.758 0.000 0.000 0.000 7.332" Properties=species:S:1:pos:R:3 pbc="T T T"
Hg 0.000 0.000 3.341
La 1.487 1.879 5.751
Ru 0.000 0.000 0.459
Ru 1.487 1.879 1.447
```

Computed, not measured: a relaxed structure of LaHgRu2 at the GGA-PBE level of DFT.

## Properties
Its volume is 19.8 Å³/atom. For the formation energy, the calculation gives 302 meV per atom. Its space-group type is I-4m2 (119). The total magnetic moment comes out at 1.56 μB per cell. The mass density comes out at 11.36 g/cm³.

```
4
Lattice="5.375 -0.064 0.000 2.145 4.929 0.000 -3.760 -2.432 2.974" Properties=species:S:1:pos:R:3 pbc="T T T"
Hg 3.760 2.432 0.000
La 2.688 -0.032 1.487
Ru 0.000 0.000 0.000
Ru 1.073 2.465 1.487
```

Computed, not measured: a relaxed structure of La5HgRu2 at the GGA-PBE level of DFT.

## Properties
Its volume is 28.7 Å³/atom. For the formation energy, the calculation gives -367 meV per atom. Its space-group type is I4/mcm (140). The total magnetic moment comes out at 0.00 μB per cell. The mass density comes out at 7.94 g/cm³.

```
16
Lattice="7.248 0.000 -3.421 -1.615 7.066 -3.421 -0.129 -0.162 9.115" Properties=species:S:1:pos:R:3 pbc="T T T"
La 2.630 4.874 2.503
La 4.155 6.788 -3.652
La 0.000 0.000 0.000
La 2.816 3.533 -3.421
La 1.349 0.117 5.925
La 4.693 1.341 3.621
La -0.715 3.650 4.807
La 0.811 5.563 -1.349
La 6.219 3.255 -2.535
La 2.875 2.030 -0.231
Hg 4.160 5.219 -0.575
Hg 1.344 1.686 2.847
Ru 0.443 2.536 -1.711
Ru 4.418 0.997 -2.676
Ru 1.214 6.069 -4.167
Ru 5.190 4.529 -5.132
```

Computed, not measured: a relaxed structure of La3HgRu at the GGA-PBE level of DFT.

## Properties
Its volume is 30.0 Å³/atom. For the formation energy, the calculation gives -375 meV per atom. Its space-group type is P-1 (2). The total magnetic moment comes out at 0.00 μB per cell. The mass density comes out at 7.94 g/cm³. Its energy above the most stable polymorph in this dataset is 0.006 eV per atom.

```
10
Lattice="5.926 0.018 0.003 2.181 8.482 -0.046 -2.878 -2.037 5.991" Properties=species:S:1:pos:R:3 pbc="T T T"
Ru 4.071 2.353 0.887
Ru 3.173 1.573 4.974
Hg 3.057 6.887 1.466
Hg 0.442 5.502 4.347
La 0.257 2.229 4.973
La 3.381 3.844 3.079
La 1.061 1.679 0.885
La 3.863 0.082 2.782
La 6.022 5.395 1.006
La 1.222 -1.469 4.855
```

Computed, not measured: a relaxed structure of LaHg2Ru at the GGA-PBE level of DFT.

## Properties
Its volume is 24.2 Å³/atom. For the formation energy, the calculation gives 90 meV per atom. Its space-group type is I-42d (122). The total magnetic moment comes out at 0.00 μB per cell. The mass density comes out at 11.02 g/cm³.

```
8
Lattice="4.203 0.000 0.000 0.000 4.203 0.000 2.102 2.102 10.935" Properties=species:S:1:pos:R:3 pbc="T T T"
Ru 2.102 2.102 0.000
Ru 2.102 4.203 5.468
Hg 3.023 1.051 2.734
Hg 1.181 3.153 2.734
Hg 3.153 3.283 8.201
Hg 5.254 5.124 8.201
La 0.000 0.000 0.000
La 4.203 2.102 5.468
```

Computed, not measured: a relaxed structure of LaHgRu2 at the GGA-PBE level of DFT.

## Properties
Its volume is 22.3 Å³/atom. For the formation energy, the calculation gives 533 meV per atom. Its space-group type is I-42d (122). The total magnetic moment comes out at 0.00 μB per cell. The mass density comes out at 10.10 g/cm³.

```
8
Lattice="-1.176 -3.854 -1.725 4.157 -0.742 -1.177 3.061 -6.425 6.702" Properties=species:S:1:pos:R:3 pbc="T T T"
Ru 0.633 -3.837 0.572
Ru 3.134 -2.823 0.603
Ru 3.706 -6.595 3.856
Ru 4.612 -8.789 2.571
Hg 0.000 0.000 0.000
Hg 1.688 -6.289 1.764
La 1.490 -2.298 -1.451
La 4.354 -4.733 2.038
```